Material: HgAsP
Method: DFT, meta-GGA SCAN
State: single point on PBEsol structure

Total magnetization ... 0.000 Bohr magnetons per cell
ΔE_f ... 0.078 eV/atom

The structure in CIF format:
```
data_HgAsP
_chemical_formula_sum 'Hg1 As1 P1'
_cell_length_a 3.4135
_cell_length_b 3.4135
_cell_length_c 6.7854
_cell_angle_alpha 90.00
_cell_angle_beta 90.00
_cell_angle_gamma 120.00
_symmetry_space_group_name_H-M 'P 3 m 1'
_symmetry_Int_Tables_number 156
_symmetry_space_group_name_Hall 'P 3 -2"'
loop_
_atom_site_label
_atom_site_fract_x
_atom_site_fract_y
_atom_site_fract_z
Hg1 0.0000 0.0000 0.0000
As1 0.3333 0.6667 0.4187
P1 0.6667 0.3333 0.6140
```